# PBE-GGA Y6Tl3O, relaxed
data_Y6Tl3O
_symmetry_space_group_name_H-M 'P 1'
_symmetry_Int_Tables_number 1
_cell_length_a 5.310
_cell_length_b 10.387
_cell_length_c 10.387
_cell_angle_alpha 111.53
_cell_angle_beta 90.00
_cell_angle_gamma 90.00
loop_
_symmetry_equiv_pos_as_xyz
'x,y,z'
loop_
_atom_site_label
_atom_site_fract_x
_atom_site_fract_y
_atom_site_fract_z
_atom_site_occupancy
Y1 0.149 0.749 0.584 1
Y2 0.649 0.584 0.749 1
Y3 0.153 0.442 0.896 1
Y4 0.653 0.896 0.442 1
Y5 0.149 0.085 0.915 1
Y6 0.660 0.231 0.769 1
Y7 0.160 0.769 0.231 1
Y8 0.649 0.915 0.085 1
Y9 0.153 0.104 0.558 1
Y10 0.653 0.558 0.104 1
Y11 0.149 0.416 0.251 1
Y12 0.649 0.251 0.416 1
Tl1 0.647 0.913 0.757 1
Tl2 0.147 0.757 0.913 1
Tl3 0.148 0.423 0.577 1
Tl4 0.648 0.577 0.423 1
Tl5 0.147 0.087 0.243 1
Tl6 0.647 0.243 0.087 1
O1 0.128 0.213 0.787 1
O2 0.628 0.787 0.213 1
# Density of states at the Fermi level: 14.56 states/eV per cell
# Space-group type: Cmc2_1
# ΔE_f (raw): -0.82 eV per atom